SrAl2PdRh, relaxed, DFT GGA-PBE; space group = P4/mmm; formation energy = -78 meV/atom; mass density = 5.10 g cm⁻³; raw total energy = -4.42 eV per atom; V = 114 Å³ per cell
1.0
-0.734 4.268 1.639
-5.251 -0.896 -0.019
0.261 -1.618 4.331
Al Sr Pd Rh
2 1 1 1
direct
0.000 0.000 0.500
0.500 0.000 0.000
0.500 0.500 0.500
0.000 0.000 0.000
0.000 0.500 0.000

***

CrCdAu2, relaxed, DFT GGA-PBE; space group = P4/mmm; formation energy = 17 meV/atom; mass density = 12.69 g cm⁻³; raw total energy = -4.26 eV per atom; V = 73 Å³ per cell
1.0
4.359 0.000 0.000
0.000 3.844 0.006
0.000 -0.006 4.361
Au Cd Cr
2 1 1
direct
0.000 0.125 0.875
0.500 0.125 0.375
0.000 0.625 0.375
0.500 0.625 0.875

***

SrTaBr2, relaxed, DFT GGA-PBE; space group = Pm; mass density = 6.88 g cm⁻³; raw total energy = -4.37 eV per atom; V = 103 Å³ per cell
1.0
5.139 0.000 0.000
0.000 3.437 0.044
0.000 1.629 5.876
Br Ta Sr
2 1 1
direct
0.000 0.840 0.947
0.500 0.210 0.209
0.500 0.895 0.834
0.000 0.556 0.510